1.
Computed, not measured: a relaxed structure of BeFeAu2 at the PBE level of DFT.

The structure in CIF format:
```
data_BeFeAu2
_chemical_formula_sum 'Be2 Fe2 Au4'
_space_group_name_H-M_alt 'C 1 m 1'
_space_group_IT_number 8
_space_group_name_Hall 'C -2y'
_cell_length_a 10.0243
_cell_length_b 2.7860
_cell_length_c 4.4508
_cell_angle_alpha 90.00
_cell_angle_beta 114.38
_cell_angle_gamma 90.00
loop_
_atom_site_label
_atom_site_type_symbol
_atom_site_fract_x
_atom_site_fract_y
_atom_site_fract_z
Be1 Be 0.0000 0.0000 0.0000
Fe1 Fe 0.2093 0.5000 0.2269
Au1 Au 0.2837 0.0000 0.7974
Au2 Au 0.4931 0.0000 0.4965
```

Results
The calculated volume is 14.2 A^3/atom. Its energy relative to the elements is 0.0793 eV per atom.

***

2.
Computed, not measured: a relaxed structure of SbS2I at the PBE level of DFT.

The structure in CIF format:
```
data_SbS2I
_chemical_formula_sum 'Sb3 S6 I3'
_space_group_name_H-M_alt 'R -3 m'
_space_group_IT_number 166
_space_group_name_Hall '-R 3 2"'
_cell_length_a 3.9597
_cell_length_b 3.9597
_cell_length_c 26.6543
_cell_angle_alpha 90.00
_cell_angle_beta 90.00
_cell_angle_gamma 120.00
loop_
_atom_site_label
_atom_site_type_symbol
_atom_site_fract_x
_atom_site_fract_y
_atom_site_fract_z
Sb1 Sb 0.0000 0.0000 0.0000
S1 S 0.0000 0.0000 0.0893
I1 I 0.0000 0.0000 0.5000
```

Results
The calculated volume is 30.2 A^3/atom. Its uncorrected formation energy is 2.47 eV per formula unit.

***

3.
Computed, not measured: a relaxed structure of Ca2AlN2 at the PBE level of DFT.

The structure in CIF format:
```
data_Ca2AlN2
_chemical_formula_sum 'Ca4 Al2 N4'
_space_group_name_H-M_alt 'I 4/m m m'
_space_group_IT_number 139
_space_group_name_Hall '-I 4 2'
_cell_length_a 5.4966
_cell_length_b 5.4966
_cell_length_c 6.2084
_cell_angle_alpha 90.00
_cell_angle_beta 90.00
_cell_angle_gamma 90.00
loop_
_atom_site_label
_atom_site_type_symbol
_atom_site_fract_x
_atom_site_fract_y
_atom_site_fract_z
Ca1 Ca 0.0000 0.5000 0.2500
Al1 Al 0.0000 0.0000 0.0000
N1 N 0.0000 0.0000 0.3992
```

Results
The calculated volume is 18.8 A^3/atom. Its uncorrected formation energy is 0.55 eV per formula unit.

***

4.
Computed, not measured: a relaxed structure of Mg2SiP at the PBE level of DFT.

The structure in CIF format:
```
data_Mg2SiP
_chemical_formula_sum 'Mg8 Si4 P4'
_space_group_name_H-M_alt 'F m -3 m'
_space_group_IT_number 225
_space_group_name_Hall '-F 4 2 3'
_cell_length_a 6.5938
_cell_length_b 6.5938
_cell_length_c 6.5938
_cell_angle_alpha 90.00
_cell_angle_beta 90.00
_cell_angle_gamma 90.00
loop_
_atom_site_label
_atom_site_type_symbol
_atom_site_fract_x
_atom_site_fract_y
_atom_site_fract_z
Mg1 Mg 0.2500 0.2500 0.2500
Si1 Si 0.0000 0.0000 0.0000
P1 P 0.0000 0.0000 0.5000
```

Results
The calculated volume is 17.9 A^3/atom. Its uncorrected formation energy is 0.29 eV per formula unit.

***

5.
Computed, not measured: a relaxed structure of K2BaCd at the PBE level of DFT.

The structure in CIF format:
```
data_K2BaCd
_chemical_formula_sum 'K4 Ba2 Cd2'
_space_group_name_H-M_alt 'C 1 2/m 1'
_space_group_IT_number 12
_space_group_name_Hall '-C 2y'
_cell_length_a 7.5605
_cell_length_b 14.6138
_cell_length_c 4.4118
_cell_angle_alpha 90.00
_cell_angle_beta 122.33
_cell_angle_gamma 90.00
loop_
_atom_site_label
_atom_site_type_symbol
_atom_site_fract_x
_atom_site_fract_y
_atom_site_fract_z
K1 K 0.2500 0.2500 0.0000
Ba1 Ba 0.0000 0.0000 0.5000
Cd1 Cd 0.0000 0.5000 0.5000
```

Results
The calculated volume is 51.5 A^3/atom. Its energy relative to the elements is 0.0758 eV per atom.

***

6.
Computed, not measured: a relaxed structure of Sm6Tl2In at the PBE level of DFT.

The structure in CIF format:
```
data_Sm6Tl2In
_chemical_formula_sum 'Sm12 Tl4 In2'
_space_group_name_H-M_alt 'C 1 2/m 1'
_space_group_IT_number 12
_space_group_name_Hall '-C 2y'
_cell_length_a 16.6906
_cell_length_b 7.4855
_cell_length_c 5.2768
_cell_angle_alpha 90.00
_cell_angle_beta 108.30
_cell_angle_gamma 90.00
loop_
_atom_site_label
_atom_site_type_symbol
_atom_site_fract_x
_atom_site_fract_y
_atom_site_fract_z
Sm1 Sm 0.0000 0.2488 0.0000
Sm2 Sm 0.1662 0.2493 0.6658
Tl1 Tl 0.1665 0.5000 0.1661
In1 In 0.0000 0.0000 0.5000
```

Results
The calculated volume is 34.8 A^3/atom. Its energy relative to the elements is -0.0650 eV per atom.

***

7.
Computed, not measured: a relaxed structure of CsCe2I8 at the PBE level of DFT.

The structure in CIF format:
```
data_CsCe2I8
_chemical_formula_sum 'Cs2 Ce4 I16'
_space_group_name_H-M_alt 'C 1 2/m 1'
_space_group_IT_number 12
_space_group_name_Hall '-C 2y'
_cell_length_a 9.9048
_cell_length_b 14.8415
_cell_length_c 6.3502
_cell_angle_alpha 90.00
_cell_angle_beta 99.30
_cell_angle_gamma 90.00
loop_
_atom_site_label
_atom_site_type_symbol
_atom_site_fract_x
_atom_site_fract_y
_atom_site_fract_z
Cs1 Cs 0.0000 0.0000 0.0000
Ce1 Ce 0.0000 0.3203 0.5000
I1 I 0.0000 0.2634 0.0000
I2 I 0.0900 0.5000 0.7751
I3 I 0.1909 0.1367 0.5669
```

Results
The calculated volume is 41.9 A^3/atom. Its uncorrected formation energy is -13.87 eV per formula unit.

***

8.
Computed, not measured: a relaxed structure of Na3Y2ThTe6 at the PBE level of DFT.

The structure in CIF format:
```
data_Na3Y2ThTe6
_chemical_formula_sum 'Na6 Y4 Th2 Te12'
_space_group_name_H-M_alt 'C 1 2/m 1'
_space_group_IT_number 12
_space_group_name_Hall '-C 2y'
_cell_length_a 7.6507
_cell_length_b 13.2501
_cell_length_c 8.0659
_cell_angle_alpha 90.00
_cell_angle_beta 108.44
_cell_angle_gamma 90.00
loop_
_atom_site_label
_atom_site_type_symbol
_atom_site_fract_x
_atom_site_fract_y
_atom_site_fract_z
Na1 Na 0.0000 0.0000 0.0000
Na2 Na 0.0000 0.3344 0.0000
Y1 Y 0.0000 0.1668 0.5000
Th1 Th 0.0000 0.5000 0.5000
Te1 Te 0.2417 0.0000 0.7370
Te2 Te 0.2477 0.3314 0.7373
```

Results
The calculated volume is 32.3 A^3/atom. Its uncorrected formation energy is -14.98 eV per formula unit.

***

9.
Computed, not measured: a relaxed structure of SrLi2Al2 at the PBE level of DFT.

The structure in CIF format:
```
data_SrLi2Al2
_chemical_formula_sum 'Sr2 Li4 Al4'
_space_group_name_H-M_alt 'C m m m'
_space_group_IT_number 65
_space_group_name_Hall '-C 2 2'
_cell_length_a 3.5576
_cell_length_b 15.4908
_cell_length_c 4.5133
_cell_angle_alpha 90.00
_cell_angle_beta 90.00
_cell_angle_gamma 90.00
loop_
_atom_site_label
_atom_site_type_symbol
_atom_site_fract_x
_atom_site_fract_y
_atom_site_fract_z
Sr1 Sr 0.0000 0.0000 0.0000
Li1 Li 0.0000 0.1797 0.5000
Al1 Al 0.0000 0.3150 0.0000
```

Results
The calculated volume is 24.9 A^3/atom. Its energy relative to the elements is -0.0283 eV per atom.

***

10.
Computed, not measured: a relaxed structure of Th5Co2Pb2 at the PBE level of DFT.

The structure in CIF format:
```
data_Th5Co2Pb2
_chemical_formula_sum 'Th20 Co8 Pb8'
_space_group_name_H-M_alt 'I m a 2'
_space_group_IT_number 46
_space_group_name_Hall 'I 2 -2a'
_cell_length_a 22.1480
_cell_length_b 7.1146
_cell_length_c 6.9146
_cell_angle_alpha 90.00
_cell_angle_beta 90.00
_cell_angle_gamma 90.00
loop_
_atom_site_label
_atom_site_type_symbol
_atom_site_fract_x
_atom_site_fract_y
_atom_site_fract_z
Th1 Th 0.0019 0.2500 0.0000
Th2 Th 0.1388 0.5083 0.2500
Th3 Th 0.2500 0.0873 0.2512
Co1 Co 0.0000 0.0000 0.7500
Co2 Co 0.2500 0.0566 0.7494
Pb1 Pb 0.1081 0.5067 0.7500
```

Results
The calculated volume is 30.3 A^3/atom. Its energy relative to the elements is -0.1412 eV per atom.

***

11.
Computed, not measured: a relaxed structure of Hf3BeBi at the PBE level of DFT.

The structure in CIF format:
```
data_Hf3BeBi
_chemical_formula_sum 'Hf6 Be2 Bi2'
_space_group_name_H-M_alt 'P 1 21/m 1'
_space_group_IT_number 11
_space_group_name_Hall '-P 2yb'
_cell_length_a 7.6104
_cell_length_b 3.8133
_cell_length_c 7.6495
_cell_angle_alpha 90.00
_cell_angle_beta 112.06
_cell_angle_gamma 90.00
loop_
_atom_site_label
_atom_site_type_symbol
_atom_site_fract_x
_atom_site_fract_y
_atom_site_fract_z
Hf1 Hf 0.0775 0.2500 0.1740
Hf2 Hf 0.1970 0.7500 0.5131
Hf3 Hf 0.3937 0.7500 0.1920
Be1 Be 0.4241 0.2500 0.4337
Bi1 Bi 0.2293 0.2500 0.8394
```

Results
The calculated volume is 20.6 A^3/atom. Its energy relative to the elements is -0.1387 eV per atom.

***

12.
Computed, not measured: a relaxed structure of NbSiF3 at the PBE level of DFT.

The structure in CIF format:
```
data_NbSiF3
_chemical_formula_sum 'Nb1 Si1 F3'
_space_group_name_H-M_alt 'P m -3 m'
_space_group_IT_number 221
_space_group_name_Hall '-P 4 2 3'
_cell_length_a 4.2778
_cell_length_b 4.2778
_cell_length_c 4.2778
_cell_angle_alpha 90.00
_cell_angle_beta 90.00
_cell_angle_gamma 90.00
loop_
_atom_site_label
_atom_site_type_symbol
_atom_site_fract_x
_atom_site_fract_y
_atom_site_fract_z
Nb1 Nb 0.0000 0.0000 0.0000
Si1 Si 0.5000 0.5000 0.5000
F1 F 0.0000 0.5000 0.5000
```

Results
The calculated volume is 15.7 A^3/atom. Its uncorrected formation energy is -3.48 eV per formula unit.